No. 1
# LaY2Sc2 | Alexandria | PBE-GGA | optimized geometry
# - Final energy: -5.97 eV/atom
# - Mass density: 4.416 g/cm3
# - Crystal system: orthorhombic
data_LaY2Sc2
_chemical_formula_sum 'La4 Y8 Sc8'
_space_group_name_H-M_alt 'I m m a'
_space_group_IT_number 74
_space_group_name_Hall '-I 2b 2'
_cell_length_a 5.5238
_cell_length_b 6.8111
_cell_length_c 16.2554
_cell_angle_alpha 90.00
_cell_angle_beta 90.00
_cell_angle_gamma 90.00
loop_
_atom_site_label
_atom_site_type_symbol
_atom_site_fract_x
_atom_site_fract_y
_atom_site_fract_z
La1 La 0.0000 0.2500 0.1259
Y1 Y 0.0000 0.2500 0.4971
Y2 Y 0.0000 0.2500 0.8761
Sc1 Sc 0.0000 0.0066 0.6919

No. 2
# La4Y8Sc | Alexandria | PBE-GGA | optimized geometry
# - Final energy: -5.42 eV/atom
# - Mass density: 4.566 g/cm3
# - Crystal system: trigonal
data_La4Y8Sc
_chemical_formula_sum 'La12 Y24 Sc3'
_space_group_name_H-M_alt 'R -3 m'
_space_group_IT_number 166
_space_group_name_Hall '-R 3 2"'
_cell_length_a 11.0654
_cell_length_b 11.0654
_cell_length_c 13.4976
_cell_angle_alpha 90.00
_cell_angle_beta 90.00
_cell_angle_gamma 120.00
loop_
_atom_site_label
_atom_site_type_symbol
_atom_site_fract_x
_atom_site_fract_y
_atom_site_fract_z
La1 La 0.0000 0.0000 0.0000
La2 La 0.0000 0.5000 0.0000
Y1 Y 0.0000 0.0000 0.2424
Y2 Y 0.0096 0.5048 0.7468
Sc1 Sc 0.0000 0.0000 0.5000

No. 3
# LaY6Sc2 | Alexandria | PBE-GGA | optimized geometry
# - Final energy: -6.16 eV/atom
# - Mass density: 4.486 g/cm3
# - Crystal system: monoclinic
data_LaY6Sc2
_chemical_formula_sum 'La4 Y24 Sc8'
_space_group_name_H-M_alt 'C 1 2/c 1'
_space_group_IT_number 15
_cell_length_a 12.2889
_cell_length_b 14.5139
_cell_length_c 6.4549
_cell_angle_alpha 90.00
_cell_angle_beta 101.41
_cell_angle_gamma 90.00
loop_
_space_group_symop_operation_xyz
'x,y,z'
'-x,-y,-z'
'-x,y,-z+1/2'
'x,-y,z+1/2'
'x+1/2,y+1/2,z'
'-x+1/2,-y+1/2,-z'
'-x+1/2,y+1/2,-z+1/2'
'x+1/2,-y+1/2,z+1/2'
loop_
_atom_site_label
_atom_site_type_symbol
_atom_site_fract_x
_atom_site_fract_y
_atom_site_fract_z
La1 La 0.0000 0.0959 0.2500
Y1 Y 0.0480 0.3109 0.0183
Y2 Y 0.1595 0.0994 0.8047
Y3 Y 0.2369 0.3228 0.6903
Sc1 Sc 0.1228 0.4866 0.3649

No. 4
# La8Y4Sc | Alexandria | PBE-GGA | optimized geometry
# - Final energy: -5.06 eV/atom
# - Mass density: 5.010 g/cm3
# - Crystal system: trigonal
data_La8Y4Sc
_chemical_formula_sum 'La24 Y12 Sc3'
_space_group_name_H-M_alt 'R -3 m'
_space_group_IT_number 166
_space_group_name_Hall '-R 3 2"'
_cell_length_a 11.3016
_cell_length_b 11.3016
_cell_length_c 13.5902
_cell_angle_alpha 90.00
_cell_angle_beta 90.00
_cell_angle_gamma 120.00
loop_
_atom_site_label
_atom_site_type_symbol
_atom_site_fract_x
_atom_site_fract_y
_atom_site_fract_z
La1 La 0.0000 0.0000 0.2409
La2 La 0.0075 0.5037 0.7439
Y1 Y 0.0000 0.0000 0.0000
Y2 Y 0.0000 0.5000 0.0000
Sc1 Sc 0.0000 0.0000 0.5000

No. 5
# La4YSc | Alexandria | PBE-GGA | optimized geometry
# - Final energy: -5.37 eV/atom
# - Mass density: 5.621 g/cm3
# - Crystal system: orthorhombic
data_La4YSc
_chemical_formula_sum 'La8 Y2 Sc2'
_space_group_name_H-M_alt 'C m m m'
_space_group_IT_number 65
_space_group_name_Hall '-C 2 2'
_cell_length_a 5.2015
_cell_length_b 15.0723
_cell_length_c 5.1965
_cell_angle_alpha 90.00
_cell_angle_beta 90.00
_cell_angle_gamma 90.00
loop_
_atom_site_label
_atom_site_type_symbol
_atom_site_fract_x
_atom_site_fract_y
_atom_site_fract_z
La1 La 0.0000 0.1631 0.0000
La2 La 0.0000 0.3354 0.5000
Y1 Y 0.0000 0.5000 0.0000
Sc1 Sc 0.0000 0.0000 0.5000

No. 6
# La2Y2Sc | Alexandria | PBE-GGA | optimized geometry
# - Final energy: -5.59 eV/atom
# - Mass density: 5.100 g/cm3
# - Crystal system: tetragonal
data_La2Y2Sc
_chemical_formula_sum 'La4 Y4 Sc2'
_space_group_name_H-M_alt 'P 4/m b m'
_space_group_IT_number 127
_space_group_name_Hall '-P 4 2ab'
_cell_length_a 8.9172
_cell_length_b 8.9172
_cell_length_c 4.0994
_cell_angle_alpha 90.00
_cell_angle_beta 90.00
_cell_angle_gamma 90.00
loop_
_atom_site_label
_atom_site_type_symbol
_atom_site_fract_x
_atom_site_fract_y
_atom_site_fract_z
La1 La 0.1304 0.3696 0.0000
Y1 Y 0.1716 0.6716 0.5000
Sc1 Sc 0.0000 0.0000 0.0000

No. 7
# La11Y9Sc4 | Alexandria | PBE-GGA | optimized geometry
# - Final energy: -5.67 eV/atom
# - Mass density: 5.170 g/cm3
# - Crystal system: orthorhombic
data_La11Y9Sc4
_chemical_formula_sum 'La22 Y18 Sc8'
_space_group_name_H-M_alt 'C m m m'
_space_group_IT_number 65
_space_group_name_Hall '-C 2 2'
_cell_length_a 17.1024
_cell_length_b 25.8025
_cell_length_c 3.6508
_cell_angle_alpha 90.00
_cell_angle_beta 90.00
_cell_angle_gamma 90.00
loop_
_atom_site_label
_atom_site_type_symbol
_atom_site_fract_x
_atom_site_fract_y
_atom_site_fract_z
La1 La 0.0000 0.0000 0.0000
La2 La 0.0000 0.1589 0.0000
La3 La 0.0000 0.3707 0.0000
La4 La 0.2003 0.5000 0.0000
La5 La 0.2259 0.1800 0.0000
Y1 Y 0.0000 0.5000 0.5000
Y2 Y 0.1018 0.2690 0.5000
Y3 Y 0.1459 0.0715 0.5000
Sc1 Sc 0.1567 0.3977 0.5000

No. 8
# La5Y2Sc2 | Alexandria | PBE-GGA | optimized geometry
# - Final energy: -5.47 eV/atom
# - Mass density: 5.369 g/cm3
# - Crystal system: monoclinic
data_La5Y2Sc2
_chemical_formula_sum 'La10 Y4 Sc4'
_space_group_name_H-M_alt 'C 1 2/m 1'
_space_group_IT_number 12
_cell_length_a 20.0942
_cell_length_b 3.4927
_cell_length_c 8.6926
_cell_angle_alpha 90.00
_cell_angle_beta 102.65
_cell_angle_gamma 90.00
loop_
_space_group_symop_operation_xyz
'x,y,z'
'-x,-y,-z'
'-x,y,-z'
'x,-y,z'
'x+1/2,y+1/2,z'
'-x+1/2,-y+1/2,-z'
'-x+1/2,y+1/2,-z'
'x+1/2,-y+1/2,z'
loop_
_atom_site_label
_atom_site_type_symbol
_atom_site_fract_x
_atom_site_fract_y
_atom_site_fract_z
La1 La 0.0000 0.0000 0.0000
La2 La 0.1631 0.5000 0.9905
La3 La 0.2191 0.0000 0.6455
Y1 Y 0.0551 0.0000 0.6596
Sc1 Sc 0.0953 0.5000 0.3484

> Which of these has the lowest mass density?

LaY2Sc2

> What is the formula in the eighth record?

La5Y2Sc2